No. 1
Below is a relaxed structure of AlIr2, with properties calculated at the PBE level.

```
AlIr2
1.0
1.817 -5.971 0.000
1.817 5.971 0.000
0.000 0.000 3.966
Al Ir
2 4
Cartesian
1.817 4.984 2.974
1.817 -4.984 0.991
1.817 2.895 0.991
1.817 1.011 2.974
1.817 -1.011 0.991
1.817 -2.895 2.974
```

No. 2
Below is a relaxed structure of AlIr, with properties calculated at the PBE level.

```
AlIr
1.0
3.016 0.000 0.000
0.000 3.016 0.000
0.000 0.000 3.016
Al Ir
1 1
Cartesian
0.000 0.000 0.000
1.508 1.508 1.508
```

No. 3
Al5Ir3, relaxed, DFT PBE; energy above the lowest structure with this stoichiometry = 0 meV/atom
1.0
5.444 0.000 0.000
1.970 6.612 0.000
1.974 0.249 6.618
Al Ir
10 6
Cartesian
0.646 1.203 0.795
3.019 2.334 4.839
4.322 6.681 3.365
3.634 5.123 1.161
4.030 2.586 2.132
5.359 4.276 4.486
5.755 1.738 5.457
5.067 0.180 3.254
6.369 4.527 1.780
8.743 5.658 5.823
2.877 4.540 3.512
2.341 3.064 0.242
5.771 6.624 5.518
3.618 0.237 1.101
7.047 3.797 6.376
6.511 2.321 3.106

No. 4
Below is a relaxed structure of AlIr, with properties calculated at the PBE level.

```
AlIr
1.0
5.005 0.000 0.000
0.000 5.005 0.000
0.000 0.000 5.065
Al Ir
4 4
Cartesian
1.009 1.009 0.000
1.493 3.512 2.533
3.512 1.493 2.533
3.996 3.996 0.000
1.011 1.011 2.533
1.492 3.513 0.000
3.513 1.492 0.000
3.995 3.995 2.533
```

No. 5
Below is a relaxed structure of Al2Ir, with properties calculated at the PBE level.

```
Al2Ir
1.0
5.796 -1.522 0.000
5.796 1.522 0.000
-1.532 0.000 5.093
Al Ir
4 2
Cartesian
-0.378 0.000 1.308
3.082 0.000 1.864
6.979 0.000 3.229
10.438 0.000 3.785
2.757 0.000 4.571
7.303 0.000 0.522
```

No. 6
Below is a relaxed structure of AlIr, with properties calculated at the PBE level.

```
AlIr
1.0
2.834 0.000 0.000
-1.417 2.454 0.000
0.000 0.000 8.519
Al Ir
2 2
Cartesian
0.000 1.636 1.157
1.417 0.818 7.362
0.000 1.636 5.434
1.417 0.818 3.085
```

no.,ΔE_f (meV per atom)
1,-432
2,-937
3,-743
4,-146
5,-632
6,-287